(1)
A plane-wave DFT calculation with GGA-PBE was carried out for a relaxed structure of KAs2HIr.

Cell: 4.9214 4.0190 4.9214 Å, 90.00 90.00 90.00°
Element x y z (fractional)
H: 0.0000 0.5000 0.0000
As: 0.5000 0.0000 0.0000
Ir: 0.0000 0.0000 0.0000
As: 0.0000 0.0000 0.5000
K: 0.5000 0.5000 0.5000

(2)
A plane-wave DFT calculation with GGA-PBE was carried out for a relaxed structure of Pm5TlSb4.

Properties
**ΔE_f (raw)**: -9.68 eV/f.u.

Cell: 4.4960 4.4960 16.2046 Å, 97.97 97.97 90.00°
Element x y z (fractional)
Sb: 0.5993 0.5993 0.1986
Sb: 0.7994 0.7994 0.5989
Pm: 0.8969 0.8969 0.7938
Tl: 0.0000 0.0000 0.0000
Pm: 0.7000 0.7000 0.3999
Pm: 0.3000 0.3000 0.6001
Pm: 0.1031 0.1031 0.2062
Sb: 0.4007 0.4007 0.8014
Sb: 0.2006 0.2006 0.4011
Pm: 0.5000 0.5000 0.0000

(3)
A plane-wave DFT calculation with GGA-PBE was carried out for a relaxed structure of NpGa2.

Properties
**E_form**: -0.15 eV per atom

Cell: 4.7701 4.7701 2.9000 Å, 90.00 90.00 120.00°
Element x y z (fractional)
Ga: 0.3333 0.6667 0.5000
Np: 0.0000 0.0000 0.0000
Ga: 0.6667 0.3333 0.5000

(4)
A plane-wave DFT calculation with GGA-PBE was carried out for a relaxed structure of Ca5Pt.

Properties
**E_form**: 0.36 eV per atom

Cell: 6.6493 6.6493 6.6493 Å, 60.00 60.00 60.00°
Element x y z (fractional)
Ca: 0.3740 0.3740 0.8780
Ca: 0.3740 0.8780 0.3740
Pt: 0.0000 0.0000 0.0000
Ca: 0.8780 0.3740 0.3740
Ca: 0.7500 0.7500 0.7500
Ca: 0.3740 0.3740 0.3740

(5)
A plane-wave DFT calculation with GGA-PBE was carried out for a relaxed structure of Pa2Be16Ru.

Properties
**E_form**: -0.13 eV per atom

Cell: 5.9090 5.9090 5.9090 Å, 83.96 83.96 83.96°
Element x y z (fractional)
Be: 0.6606 0.1602 0.6606
Be: 0.6606 0.6606 0.1602
Be: 0.1010 0.1010 0.1010
Be: 0.3389 0.8478 0.3389
Be: 0.0040 0.4937 0.0040
Be: 0.8478 0.3389 0.3389
Be: 0.7224 0.2726 0.9983
Pa: 0.3486 0.3486 0.3486
Be: 0.2726 0.7224 0.9983
Be: 0.3389 0.3389 0.8478
Be: 0.9983 0.7224 0.2726
Be: 0.0040 0.0040 0.4937
Be: 0.4937 0.0040 0.0040
Pa: 0.6628 0.6628 0.6628
Be: 0.1602 0.6606 0.6606
Ru: 0.8922 0.8922 0.8922
Be: 0.2726 0.9983 0.7224
Be: 0.9983 0.2726 0.7224
Be: 0.7224 0.9983 0.2726

(6)
A plane-wave DFT calculation with GGA-PBE was carried out for a relaxed structure of BaAl3N.

Properties
**ΔE_f (raw)**: 12.90 eV/f.u.
**Relative energy among the computed polymorphs**: 201.6 kJ/mol of atoms

Cell: 6.0669 6.0669 6.0669 Å, 90.00 90.00 90.00°
Element x y z (fractional)
Al: 0.0000 0.5000 0.0000
Ba: 0.0000 0.0000 0.0000
Al: 0.5000 0.0000 0.0000
Al: 0.0000 0.0000 0.5000
N: 0.5000 0.5000 0.5000

(7)
A plane-wave DFT calculation with GGA-PBE was carried out for a relaxed structure of TbEu2Ho.

Properties
**E_form**: 0.12 eV per atom
**Relative energy among the computed polymorphs**: 0.0 kJ/mol of atoms

Cell: 3.6468 3.6468 10.5541 Å, 90.00 90.00 90.00°
Element x y z (fractional)
Eu: 0.0000 0.0000 0.2486
Ho: 0.5000 0.5000 0.0000
Tb: 0.5000 0.5000 0.5000
Eu: 0.0000 0.0000 0.7514

(8)
A plane-wave DFT calculation with GGA-PBE was carried out for a relaxed structure of Pm2Nd6HoMg.

Properties
**E_form**: 0.11 eV per atom

Cell: 9.7446 8.8526 8.8526 Å, 116.35 94.55 94.55°
Element x y z (fractional)
Pm: 0.9499 0.7031 0.7984
Pm: 0.5501 0.2016 0.2969
Ho: 0.2500 0.9822 0.0178
Nd: 0.8058 0.4288 0.9983
Nd: 0.0508 0.1243 0.7574
Nd: 0.3861 0.4972 0.2949
Nd: 0.6139 0.5028 0.7051
Nd: 0.5508 0.7574 0.1243
Nd: 0.6942 0.0017 0.5712
Pm: 0.0501 0.2969 0.2016
Ho: 0.7500 0.0178 0.9822
Pm: 0.4499 0.7984 0.7031
Nd: 0.3058 0.9983 0.4288
Nd: 0.8861 0.2949 0.4972
Nd: 0.1942 0.5712 0.0017
Nd: 0.9492 0.8757 0.2426
Nd: 0.4492 0.2426 0.8757
Mg: 0.2500 0.4078 0.5922
Nd: 0.1139 0.7051 0.5028
Mg: 0.7500 0.5922 0.4078

no.,magnetization (μB per cell),raw total energy (eV for the cell shown)
1,0.00,-21.5
2,0.00,-52.3
3,3.83,-19.4
4,0.51,-13.9
5,0.00,-90.4
6,0.00,-8.6
7,15.22,-29.3
8,0.00,-86.4